Computed, not measured: a relaxed Ni2OsRuI crystal at the PBE level of DFT.

## Properties
theoretical density: 8.90 g/cm3
space group: P4/mmm, No. 123
formation energy from raw total energies: 1380.6 meV per atom
spin magnetization: 0.00 μB per atom

```
5
Lattice="4.593 0.000 0.000 0.000 4.740 0.000 0.000 0.000 4.593" Properties=species:S:1:pos:R:3 pbc="T T T"
I 2.296 2.370 2.296
Ru 0.000 2.370 0.000
Os 0.000 0.000 0.000
Ni 0.000 0.000 2.296
Ni 2.296 0.000 0.000
```

Computed, not measured: a relaxed SiNiOs2I crystal at the PBE level of DFT.

## Properties
theoretical density: 9.17 g/cm3
space group: P4/mmm, No. 123
formation energy from raw total energies: 2390.8 meV per atom
spin magnetization: 0.32 μB per atom

```
5
Lattice="4.880 0.000 0.000 0.000 4.880 0.000 0.000 0.000 4.517" Properties=species:S:1:pos:R:3 pbc="T T T"
I 0.000 0.000 0.000
Ni 0.000 0.000 2.258
Si 2.440 2.440 2.258
Os 0.000 2.440 0.000
Os 2.440 0.000 0.000
```

Computed, not measured: a relaxed Sm8Ni3OsI4 crystal at the PBE level of DFT.

## Properties
theoretical density: 7.38 g/cm3
space group: R-3m, No. 166
formation energy from raw total energies: -664.4 meV per atom
spin magnetization: 0.00 μB per atom

```
16
Lattice="8.196 0.000 0.000 0.000 9.289 0.765 -4.098 -4.092 5.797" Properties=species:S:1:pos:R:3 pbc="T T T"
Sm -2.057 2.442 6.069
Sm 0.000 4.496 3.157
Sm 0.000 0.741 3.422
Sm 2.057 2.442 6.069
Sm 2.041 2.755 0.493
Sm 4.098 4.457 3.140
Sm 4.098 0.701 3.406
Sm 6.155 2.755 0.493
Ni 4.098 4.644 0.382
Ni 2.049 2.599 3.281
Ni -2.049 2.599 3.281
Os 0.000 4.644 0.382
I 4.098 0.000 0.000
I 2.049 -2.046 2.899
I 0.000 0.000 0.000
I -2.049 -2.046 2.899
```

Computed, not measured: a relaxed SrNiOsI2 crystal at the PBE level of DFT.

## Properties
theoretical density: 7.06 g/cm3
space group: P4/mmm, No. 123
formation energy from raw total energies: 247.2 meV per atom
spin magnetization: 0.00 μB per atom

```
5
Lattice="-1.497 4.844 2.123 -2.788 -2.154 2.949 4.104 -0.327 3.641" Properties=species:S:1:pos:R:3 pbc="T T T"
I 2.052 -0.164 1.821
I -0.748 2.422 1.061
Sr -0.090 1.182 4.356
Os 0.000 0.000 0.000
Ni -1.394 -1.077 1.475
```

Computed, not measured: a relaxed NiTe2OsI crystal at the PBE level of DFT.

## Properties
theoretical density: 7.01 g/cm3
space group: P4/mmm, No. 123
formation energy from raw total energies: 1169.0 meV per atom
spin magnetization: 0.21 μB per atom
ΔE to the lowest computed polymorph: 0 meV per atom

```
5
Lattice="5.113 0.000 0.000 0.000 5.113 0.000 0.000 0.000 5.720" Properties=species:S:1:pos:R:3 pbc="T T T"
I 0.000 0.000 2.860
Ni 2.556 2.556 2.860
Te 0.000 2.556 0.000
Te 2.556 0.000 0.000
Os 0.000 0.000 0.000
```

Computed, not measured: a relaxed NiTeOsI2 crystal at the PBE level of DFT.

## Properties
theoretical density: 6.70 g/cm3
space group: P4/mmm, No. 123
formation energy from raw total energies: 1171.4 meV per atom
spin magnetization: 0.20 μB per atom
ΔE to the lowest computed polymorph: 0 meV per atom

```
5
Lattice="5.615 0.000 0.000 0.000 5.615 0.000 0.000 0.000 4.951" Properties=species:S:1:pos:R:3 pbc="T T T"
I 0.000 2.808 0.000
I 2.808 0.000 0.000
Ni 2.808 2.808 2.475
Te 0.000 0.000 2.475
Os 0.000 0.000 0.000
```

Computed, not measured: a relaxed NiTeOsI2 crystal at the PBE level of DFT.

## Properties
theoretical density: 7.77 g/cm3
space group: P4/mmm, No. 123
formation energy from raw total energies: 1393.7 meV per atom
spin magnetization: 0.76 μB per atom
ΔE to the lowest computed polymorph: 222 meV per atom

```
5
Lattice="5.103 0.000 0.000 0.000 5.103 0.000 0.000 0.000 5.174" Properties=species:S:1:pos:R:3 pbc="T T T"
I 0.000 2.551 0.000
I 2.551 0.000 0.000
Ni 0.000 0.000 0.000
Te 0.000 0.000 2.587
Os 2.551 2.551 2.587
```

Computed, not measured: a relaxed NiTe2OsI crystal at the PBE level of DFT.

## Properties
theoretical density: 8.76 g/cm3
space group: P4/mmm, No. 123
formation energy from raw total energies: 1349.6 meV per atom
spin magnetization: 0.06 μB per atom
ΔE to the lowest computed polymorph: 181 meV per atom

```
5
Lattice="4.891 0.000 0.000 0.000 4.891 0.000 0.000 0.000 5.000" Properties=species:S:1:pos:R:3 pbc="T T T"
I 0.000 0.000 2.500
Ni 0.000 0.000 0.000
Te 0.000 2.446 0.000
Te 2.446 0.000 0.000
Os 2.446 2.446 2.500
```

Computed, not measured: a relaxed ZnNiOs2I crystal at the PBE level of DFT.

## Properties
theoretical density: 9.14 g/cm3
space group: P4/mmm, No. 123
formation energy from raw total energies: 2620.1 meV per atom
spin magnetization: 0.31 μB per atom

```
5
Lattice="-4.782 -0.400 0.402 -0.407 -0.088 -4.928 0.406 -4.798 0.052" Properties=species:S:1:pos:R:3 pbc="T T T"
I 0.000 0.000 0.000
Ni -2.392 -2.643 -2.237
Zn -0.204 -0.044 -2.464
Os 0.203 -2.399 0.026
Os -2.391 -0.200 0.201
```

Computed, not measured: a relaxed Ni3PI crystal at the PBE level of DFT.

## Properties
theoretical density: 5.55 g/cm3
space group: Pm-3m, No. 221
formation energy from raw total energies: 1310.6 meV per atom
spin magnetization: 0.00 μB per atom
ΔE to the lowest computed polymorph: 1020 meV per atom

```
5
Lattice="-2.679 3.588 -1.213 -0.821 -2.001 -4.104 -3.698 -2.155 1.791" Properties=species:S:1:pos:R:3 pbc="T T T"
I 0.000 0.000 0.000
Ni -0.411 -1.001 -2.052
Ni -1.849 -1.077 0.895
Ni -1.339 1.794 -0.607
P -3.599 -0.284 -1.764
```

Computed, not measured: a relaxed NiPI2 crystal at the PBE level of DFT.

## Properties
theoretical density: 5.45 g/cm3
space group: I-42d, No. 122
formation energy from raw total energies: 611.4 meV per atom
spin magnetization: 0.00 μB per atom
ΔE to the lowest computed polymorph: 0 meV per atom

```
8
Lattice="6.982 0.000 0.000 0.000 6.982 0.000 3.491 3.491 4.294" Properties=species:S:1:pos:R:3 pbc="T T T"
I 5.513 1.745 1.074
I 1.469 5.236 1.074
I 5.236 4.960 3.221
I 8.727 9.004 3.221
Ni 0.000 0.000 0.000
Ni 6.982 3.491 2.147
P 3.491 3.491 0.000
P 3.491 6.982 2.147
```

Computed, not measured: a relaxed NiPI2 crystal at the PBE level of DFT.

## Properties
theoretical density: 6.55 g/cm3
space group: Fm-3m, No. 225
formation energy from raw total energies: 976.3 meV per atom
spin magnetization: 0.00 μB per atom
ΔE to the lowest computed polymorph: 365 meV per atom

```
4
Lattice="0.000 3.518 3.518 3.518 0.000 3.518 3.518 3.518 0.000" Properties=species:S:1:pos:R:3 pbc="T T T"
I 1.759 1.759 1.759
I 5.278 5.278 5.278
Ni 3.518 3.518 3.518
P 0.000 0.000 0.000
```